Entry 1:
VASP calculation (PBE-GGA) on crystalline CaLa2Cd at its relaxed geometry.

The space group is F-43m (No. 216) and the conventional cell measures 8.0452, 8.0452 and 8.0452 Å, with angles of 90.00, 90.00 and 90.00 degrees. The distinct sites, in fractional coordinates, are Ca at (0.0000, 0.0000, 0.0000), La at (0.0000, 0.0000, 0.5000), La at (0.2500, 0.2500, 0.7500) and Cd at (0.2500, 0.2500, 0.2500).

The calculation puts the formation energy at 1.6 kJ/mol of atoms. As for the total energy: -3.18 eV per atom.

***

Entry 2:
VASP calculation (PBE-GGA) on crystalline BeNiIr at its relaxed geometry.

The space group is Fmm2 (No. 42) and the conventional cell measures 2.7738, 4.3911 and 11.5075 Å, with angles of 90.00, 90.00 and 90.00 degrees. The distinct sites, in fractional coordinates, are Be at (0.0000, 0.0000, 0.0000), Ni at (0.0000, 0.0000, 0.3534) and Ir at (0.0000, 0.0000, 0.6602).

The calculation puts the formation energy at -6.1 kJ/mol of atoms. As for the total energy: -6.19 eV per atom.

***

Entry 3:
VASP calculation (PBE-GGA) on crystalline KZrCu at its relaxed geometry.

The space group is P3m1 (No. 156) and the conventional cell measures 5.3477, 5.3477 and 2.7639 Å, with angles of 90.00, 90.00 and 120.00 degrees. The distinct sites, in fractional coordinates, are K at (0.0000, 0.0000, 0.0000), Zr at (0.6667, 0.3333, 0.9997) and Cu at (0.3333, 0.6667, 0.4969).

The calculation puts the formation energy at 92.7 kJ/mol of atoms. As for the total energy: -3.62 eV per atom.

***

Entry 4:
VASP calculation (PBE-GGA) on crystalline LiHo2In3Te6 at its relaxed geometry.

The space group is C2/m (No. 12) and the conventional cell measures 7.5674, 13.1486 and 7.9840 Å, with angles of 90.00, 108.48 and 90.00 degrees. The distinct sites, in fractional coordinates, are Li at (0.0000, 0.0000, 0.0000), Ho at (0.0000, 0.3341, 0.0000), In at (0.0000, 0.1701, 0.5000), In at (0.0000, 0.5000, 0.5000), Te at (0.2423, 0.5000, 0.2323) and Te at (0.2451, 0.1685, 0.2327).

The formation energy from raw total energies is -9.4 eV/f.u. As for the total energy: -3.96 eV per atom.

***

Entry 5:
VASP calculation (PBE-GGA) on crystalline GaWSeBr2 at its relaxed geometry.

The space group is P4/mmm (No. 123) and the conventional cell measures 5.3362, 5.3362 and 4.8589 Å, with angles of 90.00, 90.00 and 90.00 degrees. The distinct sites, in fractional coordinates, are Ga at (0.0000, 0.0000, 0.0000), W at (0.5000, 0.5000, 0.5000), Se at (0.5000, 0.5000, 0.0000) and Br at (0.0000, 0.5000, 0.5000).

The formation energy from raw total energies is 0.8 eV/f.u. As for the total energy: -4.40 eV per atom.

***

Entry 6:
VASP calculation (PBE-GGA) on crystalline MgIr2C2 at its relaxed geometry.

The space group is I4/mmm (No. 139) and the conventional cell measures 3.8494, 3.8494 and 7.7450 Å, with angles of 90.00, 90.00 and 90.00 degrees. The distinct sites, in fractional coordinates, are Mg at (0.0000, 0.0000, 0.0000), Ir at (0.0000, 0.5000, 0.2500) and C at (0.0000, 0.0000, 0.4014).

The calculation puts the formation energy at 47.0 kJ/mol of atoms. As for the total energy: -7.07 eV per atom.

***

Which formula does entry 3 have?
KZrCu

***

What did the third record say?
VASP calculation (PBE-GGA) on crystalline KZrCu at its relaxed geometry.

The space group is P3m1 (No. 156) and the conventional cell measures 5.3477, 5.3477 and 2.7639 Å, with angles of 90.00, 90.00 and 120.00 degrees. The distinct sites, in fractional coordinates, are K at (0.0000, 0.0000, 0.0000), Zr at (0.6667, 0.3333, 0.9997) and Cu at (0.3333, 0.6667, 0.4969).

The calculation puts the formation energy at 92.7 kJ/mol of atoms. As for the total energy: -3.62 eV per atom.

***

Copy entry 2 word for word.
VASP calculation (PBE-GGA) on crystalline BeNiIr at its relaxed geometry.

The space group is Fmm2 (No. 42) and the conventional cell measures 2.7738, 4.3911 and 11.5075 Å, with angles of 90.00, 90.00 and 90.00 degrees. The distinct sites, in fractional coordinates, are Be at (0.0000, 0.0000, 0.0000), Ni at (0.0000, 0.0000, 0.3534) and Ir at (0.0000, 0.0000, 0.6602).

The calculation puts the formation energy at -6.1 kJ/mol of atoms. As for the total energy: -6.19 eV per atom.